# GeRuPb2 | Alexandria | PBE | optimized geometry
data_GeRuPb2
_symmetry_space_group_name_H-M 'P 1'
_symmetry_Int_Tables_number 1
_cell_length_a 6.2432
_cell_length_b 6.2432
_cell_length_c 7.7951
_cell_angle_alpha 66.39
_cell_angle_beta 66.39
_cell_angle_gamma 90.00
loop_
_symmetry_equiv_pos_as_xyz
'x,y,z'
loop_
_atom_site_label
_atom_site_type_symbol
_atom_site_fract_x
_atom_site_fract_y
_atom_site_fract_z
_atom_site_occupancy
Ge1 Ge 0.2500 0.7500 0.5000 1
Ge2 Ge 0.5000 0.5000 0.0000 1
Ru1 Ru 0.0000 0.0000 0.0000 1
Ru2 Ru 0.7500 0.2500 0.5000 1
Pb1 Pb 0.8750 0.8989 0.7500 1
Pb2 Pb 0.6489 0.1250 0.2500 1
Pb3 Pb 0.1011 0.6250 0.2500 1
Pb4 Pb 0.3750 0.3511 0.7500 1
# Energy relative to the elements ... 0.796 eV/atom

---

# CaMgCd2 | Alexandria | PBE | optimized geometry
data_CaMgCd2
_symmetry_space_group_name_H-M 'P 1'
_symmetry_Int_Tables_number 1
_cell_length_a 9.9271
_cell_length_b 9.9271
_cell_length_c 9.9271
_cell_angle_alpha 21.02
_cell_angle_beta 21.02
_cell_angle_gamma 21.02
loop_
_symmetry_equiv_pos_as_xyz
'x,y,z'
loop_
_atom_site_label
_atom_site_type_symbol
_atom_site_fract_x
_atom_site_fract_y
_atom_site_fract_z
_atom_site_occupancy
Cd1 Cd 0.2505 0.2505 0.2505 1
Cd2 Cd 0.9936 0.9936 0.9936 1
Ca1 Ca 0.7470 0.7470 0.7470 1
Mg1 Mg 0.5089 0.5089 0.5089 1
# Energy relative to the elements ... -0.023 eV/atom

---

# SrY4Cu | Alexandria | PBE | optimized geometry
data_SrY4Cu
_symmetry_space_group_name_H-M 'P 1'
_symmetry_Int_Tables_number 1
_cell_length_a 6.6048
_cell_length_b 6.6048
_cell_length_c 6.6048
_cell_angle_alpha 60.00
_cell_angle_beta 60.00
_cell_angle_gamma 60.00
loop_
_symmetry_equiv_pos_as_xyz
'x,y,z'
loop_
_atom_site_label
_atom_site_type_symbol
_atom_site_fract_x
_atom_site_fract_y
_atom_site_fract_z
_atom_site_occupancy
Cu1 Cu 0.7500 0.7500 0.7500 1
Y1 Y 0.3758 0.3758 0.3758 1
Y2 Y 0.3758 0.3758 0.8726 1
Y3 Y 0.8726 0.3758 0.3758 1
Y4 Y 0.3758 0.8726 0.3758 1
Sr1 Sr 0.0000 0.0000 0.0000 1
# Energy relative to the elements ... 0.551 eV/atom

---

# Pr6SmIn2 | Alexandria | PBE | optimized geometry
data_Pr6SmIn2
_symmetry_space_group_name_H-M 'P 1'
_symmetry_Int_Tables_number 1
_cell_length_a 3.8972
_cell_length_b 6.9174
_cell_length_c 12.1248
_cell_angle_alpha 74.50
_cell_angle_beta 80.75
_cell_angle_gamma 73.64
loop_
_symmetry_equiv_pos_as_xyz
'x,y,z'
loop_
_atom_site_label
_atom_site_type_symbol
_atom_site_fract_x
_atom_site_fract_y
_atom_site_fract_z
_atom_site_occupancy
Pr1 Pr 0.6923 0.2049 0.4106 1
Pr2 Pr 0.0162 0.3055 0.6622 1
Pr3 Pr 0.9838 0.6945 0.3378 1
Pr4 Pr 0.6837 0.5089 0.1236 1
Pr5 Pr 0.3077 0.7951 0.5894 1
Pr6 Pr 0.3163 0.4911 0.8764 1
In1 In 0.6424 0.9159 0.7993 1
In2 In 0.3576 0.0841 0.2007 1
Sm1 Sm 0.0000 0.0000 0.0000 1
# Offset from the most stable computed form ... 0.0 kJ/mol of atoms
# Energy relative to the elements ... -0.196 eV/atom

---

# K2LaPt | Alexandria | PBE | optimized geometry
data_K2LaPt
_symmetry_space_group_name_H-M 'P 1'
_symmetry_Int_Tables_number 1
_cell_length_a 6.6283
_cell_length_b 4.4769
_cell_length_c 4.4756
_cell_angle_alpha 84.88
_cell_angle_beta 90.00
_cell_angle_gamma 90.00
loop_
_symmetry_equiv_pos_as_xyz
'x,y,z'
loop_
_atom_site_label
_atom_site_type_symbol
_atom_site_fract_x
_atom_site_fract_y
_atom_site_fract_z
_atom_site_occupancy
La1 La 0.5000 0.2500 0.2500 1
K1 K 0.0000 0.9694 0.9696 1
K2 K 0.0000 0.5306 0.5304 1
Pt1 Pt 0.5000 0.7500 0.7500 1
# Offset from the most stable computed form ... 39.8 kJ/mol of atoms
# Energy relative to the elements ... 0.032 eV/atom

---

# Sb2OsSeI | Alexandria | PBE | optimized geometry
data_Sb2OsSeI
_symmetry_space_group_name_H-M 'P 1'
_symmetry_Int_Tables_number 1
_cell_length_a 5.0940
_cell_length_b 5.0940
_cell_length_c 5.5198
_cell_angle_alpha 90.00
_cell_angle_beta 90.00
_cell_angle_gamma 90.00
loop_
_symmetry_equiv_pos_as_xyz
'x,y,z'
loop_
_atom_site_label
_atom_site_type_symbol
_atom_site_fract_x
_atom_site_fract_y
_atom_site_fract_z
_atom_site_occupancy
I1 I 0.0000 0.0000 0.5000 1
Sb1 Sb 0.5000 0.0000 0.0000 1
Sb2 Sb 0.0000 0.5000 0.0000 1
Os1 Os 0.0000 0.0000 0.0000 1
Se1 Se 0.5000 0.5000 0.5000 1
# Offset from the most stable computed form ... 0.0 kJ/mol of atoms
# Formation energy (no corrections) ... 3.400 eV per formula unit